1.
Here is a relaxed structure of Cs2CdIn2 from Alexandria. Energies are from GGA-PBE.

Summary:
calculated volume	496	Å³ per cell
E above lowest polymorph	0	meV/atom
uncorrected energy	-1.653	eV per atom
space-group type	Cmcm
calculated formation energy	-0.034	eV/atom

a b c (Å): 7.5226 7.5226 9.1541
angles (deg): 90.00 90.00 106.81
Atoms (fractional coordinates):
1 Cs 0.8134 0.1866 0.5000
2 In 0.6452 0.6452 0.5892
3 Cs 0.1866 0.8134 0.0000
4 Cd 0.6647 0.6647 0.2500
5 Cs 0.1866 0.8134 0.5000
6 In 0.6452 0.6452 0.9108
7 Cd 0.3353 0.3353 0.7500
8 In 0.3548 0.3548 0.4108
9 Cs 0.8134 0.1866 0.0000
10 In 0.3548 0.3548 0.0892

***

2.
Here is a relaxed structure of CsCd2In8 from Alexandria. Energies are from GGA-PBE.

Summary:
calculated volume	375	Å³ per cell
E above lowest polymorph	0	meV/atom
uncorrected energy	-2.215	eV per atom
space-group type	P4/mmm
calculated formation energy	0.021	eV/atom

a b c (Å): 5.4228 5.4228 12.7398
angles (deg): 90.00 90.00 90.00
Atoms (fractional coordinates):
1 In 0.0000 0.5000 0.2348
2 In 0.5000 0.5000 0.6307
3 Cd 0.0000 0.0000 0.3688
4 In 0.5000 0.0000 0.7652
5 In 0.5000 0.0000 0.2348
6 In 0.0000 0.5000 0.5000
7 Cs 0.0000 0.0000 0.0000
8 Cd 0.0000 0.0000 0.6312
9 In 0.5000 0.5000 0.3693
10 In 0.5000 0.0000 0.5000
11 In 0.0000 0.5000 0.7652

***

3.
Here is a relaxed structure of Cs2Cd2In from Alexandria. Energies are from GGA-PBE.

Summary:
calculated volume	219	Å³ per cell
E above lowest polymorph	0	meV/atom
uncorrected energy	-1.320	eV per atom
space-group type	Immm
calculated formation energy	-0.065	eV/atom

a b c (Å): 5.3350 6.5194 7.5749
angles (deg): 115.49 110.62 90.00
Atoms (fractional coordinates):
1 Cd 0.5000 0.2394 0.0000
2 In 0.0000 0.0000 0.0000
3 Cd 0.5000 0.7606 0.0000
4 Cs 0.1901 0.6901 0.3803
5 Cs 0.8099 0.3099 0.6197

***

4.
Here is a relaxed structure of CsCd2In5 from Alexandria. Energies are from GGA-PBE.

Summary:
calculated volume	245	Å³ per cell
uncorrected energy	-2.106	eV per atom
space-group type	Immm
calculated formation energy	-0.059	eV/atom

a b c (Å): 4.8867 7.7017 7.7017
angles (deg): 66.19 71.50 71.50
Atoms (fractional coordinates):
1 In 0.3635 0.4503 0.8226
2 In 0.0000 0.5000 0.5000
3 Cd 0.2496 0.2504 0.2504
4 In 0.6365 0.5497 0.1774
5 In 0.3635 0.8226 0.4503
6 Cd 0.7504 0.7496 0.7496
7 In 0.6365 0.1774 0.5497
8 Cs 0.0000 0.0000 0.0000

***

5.
Here is a relaxed structure of CsCd6In2 from Alexandria. Energies are from GGA-PBE.

Summary:
calculated volume	254	Å³ per cell
uncorrected energy	-1.338	eV per atom
space-group type	P4/mmm
calculated formation energy	-0.025	eV/atom

a b c (Å): 4.7852 4.7852 11.0909
angles (deg): 90.00 90.00 90.00
Atoms (fractional coordinates):
1 Cd 0.0000 0.5000 0.3179
2 Cd 0.5000 0.5000 0.5000
3 In 0.5000 0.5000 0.8437
4 In 0.5000 0.5000 0.1563
5 Cd 0.0000 0.5000 0.6821
6 Cd 0.0000 0.0000 0.5000
7 Cs 0.0000 0.0000 0.0000
8 Cd 0.5000 0.0000 0.3179
9 Cd 0.5000 0.0000 0.6821

***

6.
Here is a relaxed structure of CsCd2In10 from Alexandria. Energies are from GGA-PBE.

Summary:
calculated volume	377	Å³ per cell
uncorrected energy	-2.330	eV per atom
space-group type	Fmmm
calculated formation energy	-0.017	eV/atom

a b c (Å): 6.2060 8.5121 8.2645
angles (deg): 82.13 67.95 68.62
Atoms (fractional coordinates):
1 Cd 0.0000 0.5000 0.0000
2 In 0.9974 0.3608 0.6444
3 In 0.5043 0.7765 0.2150
4 In 0.2807 0.2235 0.2150
5 Cd 0.5000 0.5000 0.0000
6 In 0.7193 0.7765 0.7850
7 In 0.0000 0.0000 0.5000
8 In 0.6418 0.3608 0.3556
9 In 0.4957 0.2235 0.7850
10 In 0.3582 0.6392 0.6444
11 Cs 0.0000 0.0000 0.0000
12 In 0.5000 0.0000 0.5000
13 In 0.0026 0.6392 0.3556

***

7.
Here is a relaxed structure of CsCdIn3 from Alexandria. Energies are from GGA-PBE.

Summary:
calculated volume	194	Å³ per cell
E above lowest polymorph	260	meV/atom
uncorrected energy	-1.826	eV per atom
space-group type	Pm-3m
calculated formation energy	0.171	eV/atom

a b c (Å): 5.7925 5.7925 5.7925
angles (deg): 90.00 90.00 90.00
Atoms (fractional coordinates):
1 In 0.0000 0.0000 0.5000
2 Cd 0.0000 0.0000 0.0000
3 In 0.0000 0.5000 0.0000
4 Cs 0.5000 0.5000 0.5000
5 In 0.5000 0.0000 0.0000

***

8.
Here is a relaxed structure of CsCd2In8 from Alexandria. Energies are from GGA-PBE.

Summary:
calculated volume	432	Å³ per cell
E above lowest polymorph	96	meV/atom
uncorrected energy	-2.119	eV per atom
space-group type	P4/mmm
calculated formation energy	0.116	eV/atom

a b c (Å): 6.1601 6.1601 11.3723
angles (deg): 90.00 90.00 90.00
Atoms (fractional coordinates):
1 In 0.7511 0.7511 0.8058
2 In 0.7511 0.2489 0.1942
3 Cd 0.5000 0.0000 0.0000
4 In 0.7511 0.7511 0.1942
5 Cd 0.0000 0.5000 0.0000
6 In 0.2489 0.2489 0.1942
7 In 0.7511 0.2489 0.8058
8 In 0.2489 0.7511 0.1942
9 In 0.2489 0.7511 0.8058
10 Cs 0.5000 0.5000 0.5000
11 In 0.2489 0.2489 0.8058

***

9.
Here is a relaxed structure of CsCd10In from Alexandria. Energies are from GGA-PBE.

Summary:
calculated volume	339	Å³ per cell
uncorrected energy	-1.035	eV per atom
space-group type	Pmmm
calculated formation energy	0.027	eV/atom

a b c (Å): 4.7671 6.5322 10.8760
angles (deg): 90.00 90.00 90.00
Atoms (fractional coordinates):
1 Cd 0.0000 0.5000 0.1547
2 Cd 0.5000 0.7616 0.7681
3 Cd 0.5000 0.7616 0.2319
4 Cd 0.5000 0.5000 0.0000
5 Cs 0.0000 0.5000 0.5000
6 Cd 0.0000 0.0000 0.3162
7 Cd 0.0000 0.0000 0.6838
8 In 0.0000 0.0000 0.0000
9 Cd 0.0000 0.5000 0.8453
10 Cd 0.5000 0.2384 0.2319
11 Cd 0.5000 0.0000 0.5000
12 Cd 0.5000 0.2384 0.7681

***

10.
Here is a relaxed structure of CsCd2In9 from Alexandria. Energies are from GGA-PBE.

Summary:
calculated volume	704	Å³ per cell
uncorrected energy	-2.317	eV per atom
space-group type	I4_1/amd
calculated formation energy	-0.039	eV/atom

a b c (Å): 8.4860 10.0489 10.0489
angles (deg): 79.73 65.02 65.02
Atoms (fractional coordinates):
1 In 0.4282 0.4222 0.8242
2 In 0.7476 0.8242 0.5778
3 In 0.0753 0.3242 0.9222
4 In 0.6005 0.3242 0.0778
5 In 0.3218 0.0778 0.6758
6 Cs 0.2500 0.5000 0.5000
7 In 0.1495 0.1758 0.4222
8 In 0.0753 0.9222 0.3242
9 In 0.4282 0.8242 0.4222
10 In 0.6747 0.1758 0.5778
11 In 0.7500 0.5000 0.5000
12 Cd 0.8750 0.7500 0.2500
13 In 0.6005 0.0778 0.3242
14 Cd 0.3750 0.7500 0.7500
15 In 0.0024 0.9222 0.6758
16 In 0.6747 0.5778 0.1758
17 Cd 0.8750 0.2500 0.2500
18 Cs 0.5000 0.0000 0.0000
19 In 0.0000 0.0000 0.0000
20 In 0.3218 0.6758 0.0778
21 In 0.7476 0.5778 0.8242
22 In 0.1495 0.4222 0.1758
23 Cd 0.8750 0.2500 0.7500
24 In 0.0024 0.6758 0.9222